(1)
4
Lattice="-3.909 -2.959 -1.525 -0.741 -1.273 4.370 -2.897 3.547 0.542" Properties=species:S:1:pos:R:3 comment="AcMg2Ge (PBE-GGA, optimized geometry)" e_form_ev_per_atom=-0.2329 volume_a3_per_cell=109.2 e_above_lowest_polymorph_ev_per_atom=0.1166 dos_ef_per_ev_fu=2.3 mass_density_g_cm3=5.30 pbc="T T T"
Mg -1.448 1.773 0.271
Mg -0.371 -0.636 2.185
Ac -3.773 -0.343 1.693
Ge -1.954 -1.480 -0.762

***

(2)
4
Lattice="-1.239 -2.612 1.844 1.379 -1.903 -1.769 5.055 -0.764 2.313" Properties=species:S:1:pos:R:3 comment="Mn2PPt (PBE-GGA, optimized geometry)" e_form_ev_per_atom=-0.3024 volume_a3_per_cell=54.6 dos_ef_per_ev_fu=2.2 mass_density_g_cm3=10.21 pbc="T T T"
Mn 1.332 -1.782 -1.629
Mn 1.269 -2.083 1.090
P 3.219 -1.701 -0.248
Pt 3.972 -2.949 1.679

***

(3)
6
Lattice="3.458 -6.888 -2.232 5.662 -5.682 0.229 -8.508 5.171 5.084" Properties=species:S:1:pos:R:3 comment="CeNdCu (PBE-GGA, optimized geometry)" e_form_ev_per_atom=0.0418 volume_a3_per_cell=150.3 e_above_lowest_polymorph_ev_per_atom=0.0366 dos_ef_per_ev_fu=5.7 mass_density_g_cm3=7.69 pbc="T T T"
Ce -2.485 -1.619 3.019
Ce 3.096 -5.781 0.062
Nd 0.511 -5.234 2.108
Nd 0.100 -2.166 0.973
Cu -5.842 2.584 3.964
Cu 6.453 -9.983 -0.884

***

(4)
20
Lattice="8.554 -0.014 -1.376 -1.613 8.401 -1.376 -0.012 -0.014 8.664" Properties=species:S:1:pos:R:3 comment="PmPr3Se6 (PBE-GGA, optimized geometry)" e_form_raw_kj_per_mol_atoms=-175.9 volume_a3_per_cell=622.1 e_above_lowest_polymorph_ev_per_atom=0.0320 mass_density_g_cm3=5.56 pbc="T T T"
Pm 0.000 0.000 0.000
Pm 3.465 4.186 2.956
Pr -0.017 5.248 1.457
Pr 2.251 0.964 4.865
Pr 2.043 5.981 6.159
Pr 4.887 2.391 -0.246
Pr 4.679 7.409 1.048
Pr 6.947 3.125 4.456
Se -0.677 5.657 7.100
Se -0.977 7.980 1.417
Se 0.862 3.549 4.065
Se 2.663 0.532 7.699
Se 2.711 4.740 0.211
Se 2.392 6.863 3.269
Se 4.538 1.510 2.644
Se 4.219 3.632 5.702
Se 4.267 7.841 -1.786
Se 6.068 4.824 1.847
Se 7.907 0.392 4.495
Se 7.607 2.715 -1.188

***

(5)
5
Lattice="-0.912 4.198 2.863 -3.940 1.253 -3.092 -3.209 -2.732 2.982" Properties=species:S:1:pos:R:3 comment="AgSb3Rh (PBE-GGA, optimized geometry)" e_form_raw_kj_per_mol_atoms=37.4 volume_a3_per_cell=137.6 e_above_lowest_polymorph_ev_per_atom=0.0000 dos_ef_per_ev_fu=5.3 mass_density_g_cm3=6.95 pbc="T T T"
Sb -1.970 0.626 -1.546
Sb -1.605 -1.366 1.491
Sb -0.456 2.099 1.432
Rh 0.000 0.000 0.000
Ag -4.031 1.360 1.377

***

(6)
4
Lattice="-3.624 -4.067 0.538 1.298 -5.057 -1.642 0.844 -3.946 3.698" Properties=species:S:1:pos:R:3 comment="CeYLuMg (PBE-GGA, optimized geometry)" e_form_ev_per_atom=0.0679 volume_a3_per_cell=116.0 dos_ef_per_ev_fu=7.1 mass_density_g_cm3=6.13 pbc="T T T"
Y -1.112 -9.803 1.945
Mg 0.000 0.000 0.000
Lu -0.741 -6.535 1.297
Ce -0.371 -3.268 0.648

***

(7)
4
Lattice="-0.224 0.221 3.640 -5.315 -0.071 -0.323 0.051 -5.315 0.326" Properties=species:S:1:pos:R:3 comment="PrThAu2 (PBE-GGA, optimized geometry)" e_form_ev_per_atom=-0.6459 volume_a3_per_cell=103.6 e_above_lowest_polymorph_ev_per_atom=0.0416 dos_ef_per_ev_fu=3.5 mass_density_g_cm3=12.29 pbc="T T T"
Pr -0.112 0.110 1.820
Au 0.026 -2.658 0.163
Au -2.657 -0.036 -0.162
Th -2.744 -2.583 1.821

***

(8)
12
Lattice="6.005 0.183 0.000 -2.499 5.463 0.000 -1.753 -2.823 5.005" Properties=species:S:1:pos:R:3 comment="PaCuSe2O8 (PBE-GGA, optimized geometry)" e_form_raw_kj_per_mol_atoms=-120.9 volume_a3_per_cell=166.5 mass_density_g_cm3=5.79 pbc="T T T"
Pa -1.250 2.731 2.502
Cu 0.000 0.000 0.000
Se 3.002 0.091 2.502
Se 1.753 2.823 0.000
O 1.630 -0.377 1.584
O 0.229 2.263 0.999
O 0.174 -1.614 4.006
O 3.191 -1.346 3.421
O 3.276 3.383 0.999
O 4.374 0.560 1.584
O 2.814 1.529 3.421
O -0.174 1.614 4.006

***

(9)
5
Lattice="5.366 0.000 0.000 0.000 5.366 0.000 0.000 0.000 5.366" Properties=species:S:1:pos:R:3 comment="Mg3BeSb (PBE-GGA, optimized geometry)" e_form_raw_kj_per_mol_atoms=76.9 volume_a3_per_cell=154.5 e_above_lowest_polymorph_ev_per_atom=0.5774 dos_ef_per_ev_fu=3.0 mass_density_g_cm3=2.19 pbc="T T T"
Sb 0.000 0.000 0.000
Mg 0.000 2.683 0.000
Mg 0.000 0.000 2.683
Mg 2.683 0.000 0.000
Be 2.683 2.683 2.683

***

(10)
4
Lattice="-5.767 -1.140 1.343 -1.238 -3.879 4.449 2.761 5.144 -1.510" Properties=species:S:1:pos:R:3 comment="MgSc2In (PBE-GGA, optimized geometry)" e_form_ev_per_atom=-0.1988 volume_a3_per_cell=92.2 e_above_lowest_polymorph_ev_per_atom=0.0988 dos_ef_per_ev_fu=4.9 mass_density_g_cm3=4.13 pbc="T T T"
Sc -6.991 -5.008 5.780
Sc -1.024 -0.646 2.945
Mg -3.165 0.812 1.291
In -3.573 -2.559 2.954

***

(11)
4
Lattice="-1.740 3.406 -2.893 -2.743 0.998 -3.804 -4.121 0.884 2.205" Properties=species:S:1:pos:R:3 comment="MoPtRh2 (PBE-GGA, optimized geometry)" e_form_ev_per_atom=-0.1402 volume_a3_per_cell=59.4 e_above_lowest_polymorph_ev_per_atom=0.1161 dos_ef_per_ev_fu=6.1 mass_density_g_cm3=13.88 pbc="T T T"
Mo -4.285 2.645 -2.267
Pt -6.457 3.972 -3.380
Rh -4.493 4.401 -6.678
Rh -2.155 1.318 -1.109

***

(12)
4
Lattice="5.536 0.000 0.000 2.768 4.794 0.000 2.768 1.598 4.520" Properties=species:S:1:pos:R:3 comment="BaTaTe2 (PBE-GGA, optimized geometry)" e_form_raw_kj_per_mol_atoms=50.2 volume_a3_per_cell=119.9 e_above_lowest_polymorph_ev_per_atom=1.0185 dos_ef_per_ev_fu=1.3 mass_density_g_cm3=7.94 pbc="T T T"
Ba 5.536 3.196 2.260
Ta 8.303 4.794 3.390
Te 0.000 0.000 0.000
Te 2.768 1.598 1.130

***

(13)
12
Lattice="-3.376 3.153 -6.005 -4.076 -1.762 6.139 4.006 7.313 3.190" Properties=species:S:1:pos:R:3 comment="Ac6HPd2I3 (PBE-GGA, optimized geometry)" volume_a3_per_cell=425.6 dos_ef_per_ev_fu=11.3 mass_density_g_cm3=7.63 energy_ev_per_atom=-4.38 pbc="T T T"
Ac -2.404 7.795 0.696
Ac -4.713 2.429 0.712
Ac -1.043 0.908 2.628
Ac -2.633 6.186 4.672
Ac 1.267 6.274 2.612
Ac -0.814 2.518 -1.348
H 0.000 0.000 0.000
Pd -3.842 -0.121 2.083
Pd -3.610 1.511 -1.949
I -1.953 2.736 5.655
I -1.493 5.968 -2.331
I -1.723 4.352 1.662

***

(14)
40
Lattice="11.071 -0.040 0.000 -7.087 8.505 0.000 -1.992 -4.233 10.034" Properties=species:S:1:pos:R:3 comment="PrIn2Pd (PBE-GGA, optimized geometry)" e_form_ev_per_atom=-0.6492 volume_a3_per_cell=942.0 dos_ef_per_ev_fu=2.4 mass_density_g_cm3=8.41 pbc="T T T"
Pr 3.941 8.374 0.000
Pr 2.079 -2.192 7.220
Pr -3.927 5.657 0.000
Pr 1.824 3.876 0.000
Pr -1.022 4.438 2.814
Pr 1.467 3.118 5.962
Pr 4.071 2.041 2.814
Pr -0.524 -1.114 4.072
Pr 6.862 0.580 0.000
Pr -3.014 0.205 7.220
In 4.386 4.338 5.092
In 2.347 1.111 8.384
In 0.547 6.144 5.092
In -1.561 2.956 0.000
In 0.856 1.819 2.671
In 7.032 0.407 3.845
In -2.048 4.679 6.189
In 2.394 0.106 4.942
In 4.911 1.405 6.189
In 3.273 0.681 0.000
In -0.639 2.516 8.384
In -4.169 5.677 3.845
In -1.444 1.912 4.942
In 4.338 5.344 1.650
In 1.352 6.749 1.650
In 5.082 -1.160 7.913
In 7.074 3.073 2.121
In -1.136 -2.414 7.363
In -2.141 7.410 2.121
In -4.133 3.177 7.913
Pd -1.882 1.123 2.181
Pd 7.197 -3.150 7.853
Pd 4.985 -1.190 5.017
Pd -7.014 3.538 7.853
Pd -4.094 3.083 5.017
Pd -0.786 5.866 0.000
Pd 5.021 3.133 0.000
Pd 2.065 -0.735 2.181
Pd 0.126 0.267 6.826
Pd 2.117 4.499 3.209

***

(15)
12
Lattice="-1.329 2.178 -3.115 -4.320 -6.573 -2.753 -5.617 4.306 5.409" Properties=species:S:1:pos:R:3 comment="LiScPbSe3 (PBE-GGA, optimized geometry)" e_form_raw_kj_per_mol_atoms=-112.2 volume_a3_per_cell=289.0 mass_density_g_cm3=5.70 pbc="T T T"
Li -4.010 2.527 2.177
Li -7.256 -2.616 -2.636
Sc -4.130 -3.180 -1.762
Sc -7.136 3.091 1.304
Pb -2.551 0.303 -0.001
Pb -8.715 -0.392 -0.458
Se -5.531 -3.646 -4.093
Se -5.735 3.556 3.634
Se -6.319 -2.459 -0.324
Se -4.947 2.370 -0.135
Se -3.805 -0.613 -2.709
Se -7.461 0.524 2.250

***

(16)
8
Lattice="5.557 -0.011 -0.012 -0.564 5.528 -0.012 -0.564 -0.623 5.493" Properties=species:S:1:pos:R:3 comment="CsUF6 (PBE-GGA, optimized geometry)" e_form_raw_kj_per_mol_atoms=-336.0 volume_a3_per_cell=168.6 e_above_lowest_polymorph_ev_per_atom=0.0000 mass_density_g_cm3=4.77 pbc="T T T"
Cs 2.215 2.447 2.735
U 0.000 0.000 0.000
F 1.097 4.950 1.119
F 0.454 1.148 5.043
F -0.386 3.957 3.771
F 3.976 3.747 0.426
F 3.333 -0.055 4.350
F 4.816 0.937 1.698

***

(17)
8
Lattice="-2.942 -2.159 1.970 1.993 0.563 3.593 -5.063 6.704 4.151" Properties=species:S:1:pos:R:3 comment="YBeRe2 (PBE-GGA, optimized geometry)" e_form_ev_per_atom=0.5969 volume_a3_per_cell=153.0 dos_ef_per_ev_fu=3.8 mass_density_g_cm3=10.21 pbc="T T T"
Y 0.000 0.000 0.000
Y -4.240 1.873 4.451
Re -1.687 1.255 1.935
Re -1.557 0.900 4.312
Re -3.361 4.653 6.626
Re -5.419 3.408 6.553
Be -0.474 -0.798 2.781
Be -1.772 3.234 5.262

***

(18)
4
Lattice="5.293 0.002 0.005 -2.363 4.448 -0.004 0.567 0.777 2.511" Properties=species:S:1:pos:R:3 comment="CrRhW2 (PBE-GGA, optimized geometry)" e_form_ev_per_atom=0.1597 volume_a3_per_cell=59.1 e_above_lowest_polymorph_ev_per_atom=0.0666 dos_ef_per_ev_fu=4.8 mass_density_g_cm3=14.68 pbc="T T T"
Cr -0.898 2.612 1.253
Rh 1.465 2.225 0.001
W 0.000 0.000 0.000
W 2.930 0.389 1.258

***

(19)
12
Lattice="-7.144 1.690 -2.610 -1.812 -5.897 -4.759 -2.550 -4.157 8.348" Properties=species:S:1:pos:R:3 comment="CsRbTe3P (PBE-GGA, optimized geometry)" e_form_raw_kj_per_mol_atoms=-50.8 volume_a3_per_cell=558.7 dos_ef_per_ev_fu=0.0 mass_density_g_cm3=3.76 pbc="T T T"
Cs -7.877 -6.347 2.858
Cs -3.629 -2.018 -1.880
Rb -4.255 -6.314 -0.115
Rb -7.251 -2.051 1.093
Te -3.346 -3.881 5.398
Te -3.798 -7.073 3.481
Te -6.849 -2.732 4.711
Te -4.657 -5.633 -3.733
Te -7.708 -1.292 -2.503
Te -8.160 -4.484 -4.419
P -10.981 -7.751 0.116
P -0.525 -0.614 0.863